! BaScCoO2 PBE+U relaxed; values from VASP
! Uncorrected energy (eV/atom): -5.89
! Total moment (μB per formula unit): 1.88
&SYSTEM
  ibrav = 0, nat = 5, ntyp = 4
/
ATOMIC_SPECIES
Ba 137.33 Ba.upf
Sc 44.96 Sc.upf
Co 58.93 Co.upf
O 16.00 O.upf
ATOMIC_POSITIONS angstrom
Ba 0.0000 0.0000 0.0000
Sc 2.1569 2.1569 2.3763
Co 2.1569 2.1569 0.0000
O 0.0000 2.1569 2.3763
O 2.1569 0.0000 2.3763
CELL_PARAMETERS angstrom
4.3137 0.0000 0.0000
0.0000 4.3137 0.0000
0.0000 0.0000 4.7526